## AlTlIrC2 (PBE)

Data for AlTlIrC2 after structural relaxation.

The structure in POSCAR format:
```
AlTlIrC2
1.0
3.942 0.000 0.000
0.000 5.543 0.000
0.000 0.000 3.942
C Tl Ir Al
2 1 1 1
Cartesian
0.000 0.000 1.971
1.971 0.000 0.000
1.971 2.771 1.971
0.000 0.000 0.000
0.000 2.771 0.000
```

Output
- DOS at the Fermi energy (states/eV per atom) = 0.75
- energy of formation from the pure elements (eV per atom) = 1.186
- E (eV per atom) = -5.498
- V (Å³ per cell) = 86

=====

## NaMg6Si (PBE)

Data for NaMg6Si after structural relaxation.

The structure in POSCAR format:
```
NaMg6Si
1.0
3.439 -5.238 0.000
3.439 5.238 0.000
0.000 0.000 4.941
Na Mg Si
1 6 1
Cartesian
3.439 1.512 2.471
1.624 1.009 0.000
5.253 1.009 0.000
3.439 -1.546 0.000
1.535 -1.028 2.471
5.342 -1.028 2.471
3.439 -3.491 2.471
3.439 3.564 0.000
```

Output
- DOS at the Fermi energy (states/eV per atom) = 0.43
- E (eV per atom) = -1.946
- distance to the lowest polymorph of the same formula (eV/atom) = 0.002
- formation energy (no corrections) (eV per atom) = 0.0929
- V (Å³ per cell) = 178

=====

## TmHgBr (PBE)

Data for TmHgBr after structural relaxation.

The structure in POSCAR format:
```
TmHgBr
1.0
-3.399 -1.956 0.218
-0.972 -1.761 4.423
-7.089 8.689 2.833
Tm Hg Br
2 2 2
Cartesian
-6.615 4.128 4.668
-4.844 0.844 2.806
-6.920 0.752 4.991
-4.539 4.220 2.483
-2.324 0.289 1.744
-9.136 4.683 5.730
```

Output
- DOS at the Fermi energy (states/eV per atom) = 0.77
- E (eV per atom) = -3.030
- formation energy (no corrections) (eV per atom) = -0.8814
- V (Å³ per cell) = 199

=====

## Ca3PdO (PBE)

Data for Ca3PdO after structural relaxation.

The structure in POSCAR format:
```
Ca3PdO
1.0
4.758 0.000 0.000
0.000 4.758 0.000
0.000 0.000 4.758
Ca O Pd
3 1 1
Cartesian
0.000 2.379 0.000
0.000 0.000 2.379
2.379 0.000 0.000
0.000 0.000 0.000
2.379 2.379 2.379
```

Output
- DOS at the Fermi energy (states/eV per atom) = 0.44
- E (eV per atom) = -4.632
- distance to the lowest polymorph of the same formula (eV/atom) = 0.000
- formation energy (no corrections) (eV per atom) = -1.4012
- V (Å³ per cell) = 108